Model w:
Compound: Tb4PrSc5
Source: the Alexandria database
Functional: GGA-PBE
Structure: relaxed Values from VASP.

Computed properties:
Space-group type: P-1, No. 2
Crystal system: triclinic

```
&SYSTEM
  ibrav = 0, nat = 20, ntyp = 3
/
ATOMIC_SPECIES
Tb 158.93 Tb.upf
Pr 140.91 Pr.upf
Sc 44.96 Sc.upf
ATOMIC_POSITIONS angstrom
Tb -7.419 -7.640 0.540
Tb -9.113 -3.436 3.725
Tb -3.716 -3.661 -1.855
Tb -5.205 -9.227 -1.273
Tb 0.162 -1.650 2.036
Tb -3.569 -4.733 2.972
Tb -5.809 -3.320 0.722
Tb -5.263 -0.528 6.156
Pr -10.050 -6.743 2.637
Pr -2.632 -1.425 4.059
Sc -5.968 -2.607 3.935
Sc -8.040 0.220 4.360
Sc -12.096 -4.051 2.644
Sc -0.878 -4.626 0.719
Sc -2.780 -1.954 0.689
Sc -4.164 -6.251 0.044
Sc -6.745 -5.027 -1.822
Sc -5.069 -0.222 2.157
Sc -9.125 -4.492 0.441
Sc -6.714 -5.562 2.761
CELL_PARAMETERS angstrom
-7.947 -6.387 -5.047
4.483 -3.896 1.895
-7.640 2.708 5.933
```

=====

Model x:
Compound: Tb4PrSc5
Source: the Alexandria database
Functional: GGA-PBE
Structure: relaxed Values from VASP.

Computed properties:
Space-group type: I4mm, No. 107
Crystal system: tetragonal

```
&SYSTEM
  ibrav = 0, nat = 10, ntyp = 3
/
ATOMIC_SPECIES
Tb 158.93 Tb.upf
Pr 140.91 Pr.upf
Sc 44.96 Sc.upf
ATOMIC_POSITIONS angstrom
Tb 5.658 2.313 4.806
Tb 8.543 4.806 4.806
Tb 2.773 2.313 2.313
Tb 5.658 4.806 2.313
Pr 1.186 0.000 0.000
Sc 8.224 2.705 7.119
Sc 5.339 7.119 4.414
Sc 5.339 0.000 2.705
Sc 2.454 4.414 0.000
Sc 3.926 0.000 0.000
CELL_PARAMETERS angstrom
5.770 0.000 0.000
2.885 7.119 0.000
2.885 0.000 7.119
```

=====

Each structure's energy above the most stable one, in meV/atom: model w 0; model x 142.